FeCo2W after structural relaxation, computed with PBEsol.

The structure in POSCAR format:
```
FeCo2W
1.0
3.522 0.000 0.000
0.000 3.522 0.000
0.000 0.000 3.604
Co Fe W
2 1 1
direct
0.000 0.500 0.000
0.500 0.000 0.000
0.500 0.500 0.500
0.000 0.000 0.500
```

## Properties
Energy: -9.63 eV/atom
Spin magnetization: 0.005 μB/cell
Energy of formation: -68 meV/atom
ρ: 13.29 g cm⁻³
Space-group type: No. 123